# 1
Crystalline Th3Sn4Pt3 at its relaxed geometry. Source: the Alexandria database, functional PBE.

```
20
Lattice="-5.753 5.993 -2.349 -3.183 -4.634 6.551 7.315 3.852 2.487" Properties=species:S:1:pos:R:3 pbc="T T T"
Th 0.417 3.640 5.622
Th -1.258 6.492 1.137
Th -0.084 -0.026 2.785
Th 2.931 4.557 1.803
Th -3.309 -2.075 5.456
Th -3.561 3.043 3.266
Sn 2.409 1.269 0.819
Sn -0.268 3.396 2.227
Sn -3.153 3.885 -0.033
Sn 6.067 3.195 2.063
Sn -6.363 2.653 1.328
Sn -1.859 1.079 5.503
Sn -3.487 -0.343 2.502
Sn 1.789 0.498 5.661
Pt -0.364 -1.282 5.552
Pt -2.039 1.570 1.068
Pt -4.552 0.653 4.886
Pt -1.538 5.236 3.905
Pt 1.940 2.168 3.424
Pt 1.688 7.286 1.234
```

Results
The total moment is 0.00 μB per formula unit. The calculation puts the calculated total energy at -6.57 eV/atom.

---

# 2
Crystalline Nb3V at its relaxed geometry. Source: the Alexandria database, functional PBE.

```
4
Lattice="-1.821 0.268 -1.906 1.679 -3.987 -2.165 -3.507 -3.061 2.920" Properties=species:S:1:pos:R:3 pbc="T T T"
Nb -2.784 -1.502 0.607
Nb -2.899 -4.329 0.319
Nb -0.193 -2.895 -0.223
V -0.111 -0.097 0.092
```

Results
The total moment is 0.00 μB per formula unit. The value obtained for the energy above the lowest structure with this stoichiometry is 203 meV/atom. The calculation puts the calculated total energy at -9.60 eV/atom.

---

# 3
Crystalline KCaPbCl6 at its relaxed geometry. Source: the Alexandria database, functional PBE.

```
18
Lattice="7.163 0.000 0.000 -3.581 6.203 0.000 0.000 0.000 13.700" Properties=species:S:1:pos:R:3 pbc="T T T"
K 0.000 0.000 0.000
K 0.000 0.000 6.850
Ca 0.000 4.135 3.425
Ca 3.581 2.068 10.275
Pb 3.581 2.068 3.425
Pb 0.000 4.135 10.275
Cl 2.266 3.912 1.866
Cl 5.836 2.284 1.866
Cl -0.939 6.196 8.716
Cl -2.254 3.919 11.833
Cl 1.327 2.284 4.984
Cl 4.896 3.912 4.984
Cl 0.939 6.196 11.833
Cl 4.521 0.007 4.984
Cl -1.315 2.291 8.716
Cl 2.642 0.007 1.866
Cl 2.254 3.919 8.716
Cl 1.315 2.291 11.833
```

Results
The total moment is 0.37 μB per formula unit. The formation energy from raw total energies comes out at -1597 meV/atom. The calculation puts the calculated total energy at -3.58 eV/atom.

---

# 4
Crystalline Pr2NdDy5Er at its relaxed geometry. Source: the Alexandria database, functional PBE.

```
18
Lattice="8.726 0.000 0.000 0.000 8.726 0.000 -4.363 -4.363 7.836" Properties=species:S:1:pos:R:3 pbc="T T T"
Pr 1.029 3.335 0.000
Pr 5.392 1.029 0.000
Pr 3.335 7.698 0.000
Pr 7.698 5.392 0.000
Nd 0.000 0.000 3.918
Nd 4.363 4.363 3.918
Dy 6.881 2.518 2.183
Dy 2.518 -1.845 5.652
Dy -2.518 1.845 5.652
Dy -1.845 -2.518 5.652
Dy 1.845 2.518 5.652
Dy 6.208 6.881 2.183
Dy 2.518 1.845 2.183
Dy 1.845 6.208 2.183
Dy 4.363 4.363 0.000
Dy 0.000 0.000 0.000
Er 0.000 4.363 3.918
Er 4.363 0.000 3.918
```

Results
The total moment is 0.00 μB per formula unit. The calculation puts the calculated total energy at -4.39 eV/atom.

---

# 5
Crystalline AcSm12Dy7 at its relaxed geometry. Source: the Alexandria database, functional PBE.

```
20
Lattice="1.742 -8.362 2.150 2.805 -1.755 -8.164 8.291 2.043 2.163" Properties=species:S:1:pos:R:3 pbc="T T T"
Ac 0.000 0.000 0.000
Sm 8.293 -6.195 1.141
Sm 3.191 -6.225 -0.387
Sm 5.597 -4.458 1.271
Sm 6.020 -7.306 -1.452
Sm 6.851 -1.069 1.003
Sm 9.056 -3.114 -0.120
Sm 3.781 -4.961 -3.730
Sm 5.986 -7.005 -4.854
Sm 6.817 -0.769 -2.399
Sm 7.239 -3.617 -5.121
Sm 9.646 -1.849 -3.463
Sm 4.544 -1.880 -4.991
Dy 10.977 -6.218 -1.139
Dy 2.132 -3.041 0.680
Dy 3.764 0.019 -0.295
Dy 6.418 -4.037 -1.925
Dy 9.073 -8.093 -3.555
Dy 10.705 -5.033 -4.530
Dy 1.860 -1.856 -2.711
```

Results
The total moment is 0.00 μB per formula unit. The value obtained for the energy above the lowest structure with this stoichiometry is 0 meV/atom. The calculation puts the calculated total energy at -4.42 eV/atom.

---

# 6
Crystalline Cd2Cu3 at its relaxed geometry. Source: the Alexandria database, functional PBE.

```
5
Lattice="11.098 -1.437 0.002 11.098 1.437 0.002 10.911 0.000 2.484" Properties=species:S:1:pos:R:3 pbc="T T T"
Cd 13.321 0.000 1.001
Cd 19.786 0.000 1.487
Cu 0.000 0.000 0.000
Cu 6.455 0.000 0.485
Cu 26.651 0.000 2.003
```

Results
The total moment is 0.00 μB per formula unit. The value obtained for the energy above the lowest structure with this stoichiometry is 87 meV/atom. The calculation puts the calculated total energy at -2.69 eV/atom.

---

# 7
Crystalline Zr3CoPd at its relaxed geometry. Source: the Alexandria database, functional PBE.

```
10
Lattice="-1.077 2.478 1.776 -3.783 -4.748 4.333 4.075 -3.684 7.613" Properties=species:S:1:pos:R:3 pbc="T T T"
Zr 0.724 -2.218 8.618
Zr -1.932 -4.904 10.757
Zr -3.157 -1.100 4.701
Zr -0.793 -0.195 1.932
Zr -2.267 -3.035 7.941
Zr -0.156 -2.539 5.589
Co -2.594 -3.494 5.440
Co 2.988 -2.320 7.188
Pd 0.545 -5.006 9.457
Pd -0.458 0.097 4.672
```

Results
The total moment is 0.00 μB per formula unit. The value obtained for the energy above the lowest structure with this stoichiometry is 84 meV/atom. The calculation puts the calculated total energy at -7.84 eV/atom.

---

# 8
Crystalline AgPdC3 at its relaxed geometry. Source: the Alexandria database, functional PBE.

```
5
Lattice="4.073 0.000 0.000 0.000 4.073 0.000 0.000 0.000 4.073" Properties=species:S:1:pos:R:3 pbc="T T T"
C 0.000 2.036 0.000
C 0.000 0.000 2.036
C 2.036 0.000 0.000
Pd 0.000 0.000 0.000
Ag 2.036 2.036 2.036
```

Results
The total moment is 0.00 μB per formula unit. The value obtained for the energy above the lowest structure with this stoichiometry is 0 meV/atom. The calculation puts the calculated total energy at -4.41 eV/atom.

---

# 9
Crystalline DyLu3 at its relaxed geometry. Source: the Alexandria database, functional PBE.

```
8
Lattice="-1.564 -2.169 -6.554 2.098 -4.687 4.872 -5.240 -0.778 1.508" Properties=species:S:1:pos:R:3 pbc="T T T"
Dy -3.053 -4.431 2.194
Dy -1.653 -3.202 -2.368
Lu -0.873 -2.112 0.907
Lu -0.605 -5.551 0.063
Lu 0.180 -4.463 3.352
Lu -3.833 -5.522 -1.081
Lu -4.101 -2.082 -0.237
Lu -4.886 -3.170 -3.526
```

Results
The total moment is 0.02 μB per formula unit. The value obtained for the energy above the lowest structure with this stoichiometry is 2 meV/atom. The calculation puts the calculated total energy at -4.54 eV/atom.

---

# 10
Crystalline AsP2RhS at its relaxed geometry. Source: the Alexandria database, functional PBE.

```
5
Lattice="4.473 0.000 0.000 0.000 4.473 0.000 0.000 0.000 4.938" Properties=species:S:1:pos:R:3 pbc="T T T"
P 0.000 2.236 0.000
P 2.236 0.000 0.000
As 2.236 2.236 2.469
Rh 0.000 0.000 0.000
S 0.000 0.000 2.469
```

Results
The total moment is 0.00 μB per formula unit. The formation energy from raw total energies comes out at 677 meV/atom. The value obtained for the energy above the lowest structure with this stoichiometry is 0 meV/atom. The calculation puts the calculated total energy at -4.71 eV/atom.

---

# 11
Crystalline ScCd2AgIr at its relaxed geometry. Source: the Alexandria database, functional PBE.

```
5
Lattice="-1.664 3.101 4.204 3.522 -1.623 2.592 3.186 4.100 -1.762" Properties=species:S:1:pos:R:3 pbc="T T T"
Sc 0.000 0.000 0.000
Ir 1.761 -0.812 1.296
Ag 2.522 2.789 2.517
Cd 1.593 2.050 -0.881
Cd -0.832 1.550 2.102
```

Results
The total moment is 0.00 μB per formula unit. The value obtained for the energy above the lowest structure with this stoichiometry is 0 meV/atom. The calculation puts the calculated total energy at -3.10 eV/atom.

---

# 12
Crystalline BaAc2In at its relaxed geometry. Source: the Alexandria database, functional PBE.

```
4
Lattice="4.130 0.000 0.000 0.000 4.130 0.000 0.000 0.000 10.327" Properties=species:S:1:pos:R:3 pbc="T T T"
Ac 0.000 0.000 8.365
Ac 0.000 0.000 1.963
Ba 2.065 2.065 5.164
In 2.065 2.065 0.000
```

Results
The total moment is 0.00 μB per formula unit. The value obtained for the energy above the lowest structure with this stoichiometry is 0 meV/atom. The calculation puts the calculated total energy at -3.37 eV/atom.